Entry 1:
## Ag2BF (meta-GGA SCAN)

Data for a PBEsol-optimized structure of Ag2BF.

The structure belongs to space group Fm-3m (No. 225); the cell edges are 5.8152, 5.8152 and 5.8152 Å and the angles 90.00°, 90.00° and 90.00°. Symmetry generates all atoms from Ag at (0.2500, 0.2500, 0.2500), B at (0.0000, 0.0000, 0.0000) and F at (0.0000, 0.0000, 0.5000).

As for the uncorrected formation energy: 0.27 eV per atom. As for the crystal system: cubic.



Entry 2:
## AgBF4 (meta-GGA SCAN)

Data for a PBEsol-optimized structure of AgBF4.

The structure belongs to space group Pnma (No. 62); the cell edges are 7.8706, 5.2216 and 6.8670 Å and the angles 90.00°, 90.00° and 90.00°. Symmetry generates all atoms from Ag at (0.1843, 0.2500, 0.1784), B at (0.0625, 0.2500, 0.6836), F at (0.0697, 0.0287, 0.8046), F at (0.0897, 0.7500, 0.4210) and F at (0.2040, 0.2500, 0.5592).

As for the uncorrected formation energy: -2.44 eV per atom. As for the crystal system: orthorhombic.



Entry 3:
## HfAgBF2 (meta-GGA SCAN)

Data for a PBEsol-optimized structure of HfAgBF2.

The structure belongs to space group P4/mmm (No. 123); the cell edges are 4.0563, 4.0563 and 4.4528 Å and the angles 90.00°, 90.00° and 90.00°. Symmetry generates all atoms from Hf at (0.0000, 0.0000, 0.0000), Ag at (0.5000, 0.5000, 0.5000), B at (0.5000, 0.5000, 0.0000) and F at (0.0000, 0.5000, 0.5000).

As for the uncorrected formation energy: 0.05 eV per atom. As for the crystal system: tetragonal.



Entry 4:
## AgGeBP2 (meta-GGA SCAN)

Data for a PBEsol-optimized structure of AgGeBP2.

The structure belongs to space group P4/mmm (No. 123); the cell edges are 4.6726, 4.6726 and 4.7696 Å and the angles 90.00°, 90.00° and 90.00°. Symmetry generates all atoms from Ag at (0.0000, 0.0000, 0.0000), Ge at (0.0000, 0.0000, 0.5000), B at (0.5000, 0.5000, 0.0000) and P at (0.0000, 0.5000, 0.5000).

Its formation enthalpy at 0 K is 1.755 eV per atom. As for the crystal system: tetragonal.



Entry 5:
## ZnAgB2H (meta-GGA SCAN)

Data for a PBEsol-optimized structure of ZnAgB2H.

The structure belongs to space group P4/mmm (No. 123); the cell edges are 4.2252, 4.2252 and 3.4091 Å and the angles 90.00°, 90.00° and 90.00°. Symmetry generates all atoms from Zn at (0.0000, 0.0000, 0.0000), Ag at (0.5000, 0.5000, 0.5000), B at (0.0000, 0.5000, 0.5000) and H at (0.5000, 0.5000, 0.0000).

As for the crystal system: tetragonal.



Entry 6:
## Ag2BI (meta-GGA SCAN)

Data for a PBEsol-optimized structure of Ag2BI.

The structure belongs to space group I-42d (No. 122); the cell edges are 6.3822, 6.3822 and 8.2567 Å and the angles 90.00°, 90.00° and 90.00°. Symmetry generates all atoms from Ag at (0.1551, 0.7500, 0.1250), B at (0.0000, 0.0000, 0.0000) and I at (0.0000, 0.0000, 0.5000).

As for the uncorrected formation energy: 0.73 eV per atom. As for the crystal system: tetragonal.



Entry 7:
## AgBTe2I (meta-GGA SCAN)

Data for a PBEsol-optimized structure of AgBTe2I.

The structure belongs to space group P4/mmm (No. 123); the cell edges are 5.3276, 5.3276 and 5.4939 Å and the angles 90.00°, 90.00° and 90.00°. Symmetry generates all atoms from Ag at (0.0000, 0.0000, 0.0000), B at (0.5000, 0.5000, 0.5000), Te at (0.0000, 0.5000, 0.0000) and I at (0.0000, 0.0000, 0.5000).

As for the uncorrected formation energy: 1.35 eV per atom. As for the crystal system: tetragonal.



Entry 8:
## In3AgB (meta-GGA SCAN)

Data for a PBEsol-optimized structure of In3AgB.

The structure belongs to space group Pm-3m (No. 221); the cell edges are 4.7333, 4.7333 and 4.7333 Å and the angles 90.00°, 90.00° and 90.00°. Symmetry generates all atoms from In at (0.0000, 0.0000, 0.5000), Ag at (0.5000, 0.5000, 0.5000) and B at (0.0000, 0.0000, 0.0000).

Its formation enthalpy at 0 K is 0.628 eV per atom. As for the crystal system: cubic.



Entry 9:
## InAg2BMo (meta-GGA SCAN)

Data for a PBEsol-optimized structure of InAg2BMo.

The structure belongs to space group P4/mmm (No. 123); the cell edges are 4.9378, 4.9378 and 5.2348 Å and the angles 90.00°, 90.00° and 90.00°. Symmetry generates all atoms from In at (0.0000, 0.0000, 0.0000), Ag at (0.0000, 0.5000, 0.5000), B at (0.5000, 0.5000, 0.0000) and Mo at (0.0000, 0.0000, 0.5000).

Its formation enthalpy at 0 K is 2.250 eV per atom. As for the crystal system: tetragonal.



Entry 10:
## TlInAg2B (meta-GGA SCAN)

Data for a PBEsol-optimized structure of TlInAg2B.

The structure belongs to space group P4/mmm (No. 123); the cell edges are 5.0996, 5.0996 and 5.5497 Å and the angles 90.00°, 90.00° and 90.00°. Symmetry generates all atoms from Tl at (0.0000, 0.0000, 0.0000), In at (0.0000, 0.0000, 0.5000), Ag at (0.0000, 0.5000, 0.5000) and B at (0.5000, 0.5000, 0.0000).

Its formation enthalpy at 0 K is 1.490 eV per atom. As for the crystal system: tetragonal.



Entry 11:
## AgB2IrO (meta-GGA SCAN)

Data for a PBEsol-optimized structure of AgB2IrO.

The structure belongs to space group P4/mmm (No. 123); the cell edges are 3.8323, 3.8323 and 5.1788 Å and the angles 90.00°, 90.00° and 90.00°. Symmetry generates all atoms from Ag at (0.0000, 0.0000, 0.0000), B at (0.0000, 0.5000, 0.0000), Ir at (0.0000, 0.0000, 0.5000) and O at (0.5000, 0.5000, 0.5000).

As for the uncorrected formation energy: 2.30 eV per atom. As for the crystal system: tetragonal.



Entry 12:
## LaAgB3 (meta-GGA SCAN)

Data for a PBEsol-optimized structure of LaAgB3.

The structure belongs to space group Pm-3m (No. 221); the cell edges are 4.6686, 4.6686 and 4.6686 Å and the angles 90.00°, 90.00° and 90.00°. Symmetry generates all atoms from La at (0.0000, 0.0000, 0.0000), Ag at (0.5000, 0.5000, 0.5000) and B at (0.0000, 0.0000, 0.5000).

Its formation enthalpy at 0 K is 2.475 eV per atom. As for the crystal system: cubic.



Entry 13:
## LaZr2AgB (meta-GGA SCAN)

Data for a PBEsol-optimized structure of LaZr2AgB.

The structure belongs to space group P4/mmm (No. 123); the cell edges are 5.1301, 5.1301 and 4.4693 Å and the angles 90.00°, 90.00° and 90.00°. Symmetry generates all atoms from La at (0.0000, 0.0000, 0.0000), Zr at (0.0000, 0.5000, 0.0000), Ag at (0.5000, 0.5000, 0.5000) and B at (0.0000, 0.0000, 0.5000).

Its formation enthalpy at 0 K is 1.753 eV per atom. As for the crystal system: tetragonal.



Entry 14:
## MgAg2B (meta-GGA SCAN)

Data for a PBEsol-optimized structure of MgAg2B.

The structure belongs to space group I-42d (No. 122); the cell edges are 4.8332, 4.8332 and 13.5316 Å and the angles 90.00°, 90.00° and 90.00°. Symmetry generates all atoms from Mg at (0.0000, 0.0000, 0.0000), Ag at (0.1096, 0.2500, 0.6250) and B at (0.0000, 0.0000, 0.5000).

Its formation enthalpy at 0 K is 0.733 eV per atom. As for the crystal system: tetragonal.



Entry 15:
## MgAgBN2 (meta-GGA SCAN)

Data for a PBEsol-optimized structure of MgAgBN2.

The structure belongs to space group P4/mmm (No. 123); the cell edges are 4.1410, 4.1410 and 3.9744 Å and the angles 90.00°, 90.00° and 90.00°. Symmetry generates all atoms from Mg at (0.0000, 0.0000, 0.0000), Ag at (0.5000, 0.5000, 0.5000), B at (0.5000, 0.5000, 0.0000) and N at (0.0000, 0.5000, 0.5000).

As for the uncorrected formation energy: 1.92 eV per atom. As for the crystal system: tetragonal.



Entry 16:
## Mn2Ag2B (meta-GGA SCAN)

Data for a PBEsol-optimized structure of Mn2Ag2B.

The structure belongs to space group I4/mmm (No. 139); the cell edges are 3.0216, 3.0216 and 14.4040 Å and the angles 90.00°, 90.00° and 90.00°. Symmetry generates all atoms from Mn at (0.0000, 0.5000, 0.2500), Ag at (0.0000, 0.0000, 0.0919) and B at (0.0000, 0.0000, 0.5000).

Its formation enthalpy at 0 K is 1.164 eV per atom. As for the crystal system: tetragonal.



Entry 17:
## MnAgB2Se (meta-GGA SCAN)

Data for a PBEsol-optimized structure of MnAgB2Se.

The structure belongs to space group P4/mmm (No. 123); the cell edges are 3.8612, 3.8612 and 4.7116 Å and the angles 90.00°, 90.00° and 90.00°. Symmetry generates all atoms from Mn at (0.0000, 0.0000, 0.0000), Ag at (0.5000, 0.5000, 0.5000), B at (0.0000, 0.5000, 0.0000) and Se at (0.0000, 0.0000, 0.5000).

As for the uncorrected formation energy: 0.87 eV per atom. As for the crystal system: tetragonal.



Entry 18:
## Ag2B2Mo (meta-GGA SCAN)

Data for a PBEsol-optimized structure of Ag2B2Mo.

The structure belongs to space group I4/mmm (No. 139); the cell edges are 3.5390, 3.5390 and 9.6281 Å and the angles 90.00°, 90.00° and 90.00°. Symmetry generates all atoms from Ag at (0.0000, 0.5000, 0.2500), B at (0.0000, 0.0000, 0.0865) and Mo at (0.0000, 0.0000, 0.5000).

Its formation enthalpy at 0 K is 0.692 eV per atom. As for the crystal system: tetragonal.



Entry 19:
## Ag2BN (meta-GGA SCAN)

Data for a PBEsol-optimized structure of Ag2BN.

The structure belongs to space group I-42d (No. 122); the cell edges are 4.1114, 4.1114 and 12.8179 Å and the angles 90.00°, 90.00° and 90.00°. Symmetry generates all atoms from Ag at (0.2440, 0.2500, 0.1250), B at (0.0000, 0.0000, 0.5000) and N at (0.0000, 0.0000, 0.0000).

As for the uncorrected formation energy: 1.48 eV per atom. As for the crystal system: tetragonal.



Entry 20:
## AgBNO2 (meta-GGA SCAN)

Data for a PBEsol-optimized structure of AgBNO2.

The structure belongs to space group P4/mmm (No. 123); the cell edges are 4.0050, 4.0050 and 3.9472 Å and the angles 90.00°, 90.00° and 90.00°. Symmetry generates all atoms from Ag at (0.0000, 0.0000, 0.0000), B at (0.5000, 0.5000, 0.5000), N at (0.0000, 0.0000, 0.5000) and O at (0.0000, 0.5000, 0.0000).

As for the uncorrected formation energy: 1.94 eV per atom. As for the crystal system: tetragonal.



Entry 21:
## AgBTe2N (meta-GGA SCAN)

Data for a PBEsol-optimized structure of AgBTe2N.

The structure belongs to space group P4/mmm (No. 123); the cell edges are 6.0669, 6.0669 and 2.7194 Å and the angles 90.00°, 90.00° and 90.00°. Symmetry generates all atoms from Ag at (0.0000, 0.0000, 0.0000), B at (0.5000, 0.5000, 0.5000), Te at (0.0000, 0.5000, 0.5000) and N at (0.5000, 0.5000, 0.0000).

As for the uncorrected formation energy: 0.19 eV per atom. As for the crystal system: tetragonal.



Entry 22:
## NbAgB2 (meta-GGA SCAN)

Data for a PBEsol-optimized structure of NbAgB2.

The structure belongs to space group Fm-3m (No. 225); the cell edges are 5.6877, 5.6877 and 5.6877 Å and the angles 90.00°, 90.00° and 90.00°. Symmetry generates all atoms from Nb at (0.0000, 0.0000, 0.0000), Ag at (0.0000, 0.0000, 0.5000) and B at (0.2500, 0.2500, 0.2500).

Its formation enthalpy at 0 K is 0.791 eV per atom. As for the crystal system: cubic.



| no. | raw total energy (eV per atom) |
| --- | --- |
| 1 | -18.155 |
| 2 | -11.269 |
| 3 | -21.660 |
| 4 | -13.981 |
| 5 | -11.119 |
| 6 | -25.994 |
| 7 | -28.655 |
| 8 | -27.164 |
| 9 | -25.437 |
| 10 | -33.691 |
| 11 | -22.416 |
| 12 | -16.877 |
| 13 | -26.907 |
| 14 | -18.051 |
| 15 | -10.548 |
| 16 | -20.170 |
| 17 | -16.043 |
| 18 | -21.803 |
| 19 | -18.388 |
| 20 | -10.170 |
| 21 | -24.326 |
| 22 | -19.048 |